No. 1
Compound: NaSrTl2Pd
Source: the Alexandria database
Functional: PBE-GGA
Structure: relaxed

Results
Calculated density ... 4.61 Mg/m³
Distance to the lowest polymorph of the same formula ... 1117 meV/atom
Crystal system ... tetragonal

a b c (Å): 6.1121 6.1121 6.0392
angles (deg): 90.00 90.00 90.00
Space group P4/mmm (No. 123)
Inequivalent atoms, fractional coordinates:
Na1 0.0000 0.0000 0.0000 (multiplicity 1)
Sr1 0.0000 0.0000 0.5000 (multiplicity 1)
Tl1 0.0000 0.5000 0.5000 (multiplicity 2)
Pd1 0.5000 0.5000 0.0000 (multiplicity 1)

***

No. 2
Compound: NaSrTlPd
Source: the Alexandria database
Functional: PBE-GGA
Structure: relaxed

Results
Calculated density ... 6.94 Mg/m³
Crystal system ... cubic

a b c (Å): 7.3874 7.3874 7.3874
angles (deg): 90.00 90.00 90.00
Space group F-43m (No. 216)
Inequivalent atoms, fractional coordinates:
Na1 0.0000 0.0000 0.0000 (multiplicity 4)
Sr1 0.2500 0.2500 0.7500 (multiplicity 4)
Tl1 0.2500 0.2500 0.2500 (multiplicity 4)
Pd1 0.0000 0.0000 0.5000 (multiplicity 4)

***

No. 3
Compound: NaSr2TlPd
Source: the Alexandria database
Functional: PBE-GGA
Structure: relaxed

Results
Calculated density ... 4.47 Mg/m³
Distance to the lowest polymorph of the same formula ... 0 meV/atom
Crystal system ... tetragonal

a b c (Å): 5.9392 5.9392 5.3559
angles (deg): 90.00 90.00 90.00
Space group P4/mmm (No. 123)
Inequivalent atoms, fractional coordinates:
Na1 0.0000 0.0000 0.0000 (multiplicity 1)
Sr1 0.0000 0.5000 0.5000 (multiplicity 2)
Tl1 0.5000 0.5000 0.0000 (multiplicity 1)
Pd1 0.5000 0.5000 0.5000 (multiplicity 1)

***

no.,total magnetic moment (μB/cell),energy of formation from the pure elements (eV/atom)
1,0.0,0.934
2,0.0,-0.253
3,0.0,-0.275